1.
Material: Sr2HfTcO6
Method: DFT, PBE
State: relaxed

Unit cell a=5.7642 b=5.7643 c=8.1523 alpha=90.00 beta=90.00 gamma=90.00
Site moments in Bohr magnetons follow the coordinates.
Fractional coordinates of all 20 atoms:
1 O 0.2474 0.5028 0.0000  0.06
2 O 0.2473 0.9975 0.0000  0.06
3 Hf 0.0000 0.7499 0.5000  0.03
4 O 0.5000 0.2501 0.7473  0.07
5 O 0.5000 0.2501 0.2527  0.07
6 O 0.7526 0.5028 0.0000  0.06
7 Sr 0.0000 0.2500 0.2500  0.01
8 O 0.2526 0.4972 0.5000  0.06
9 O 0.2527 0.0025 0.5000  0.06
10 Sr 0.0000 0.2500 0.7500  0.01
11 O 0.0000 0.7499 0.7527  0.07
12 Tc 0.5000 0.2499 0.5000  2.22
13 Sr 0.5000 0.7500 0.7500  0.01
14 Sr 0.5000 0.7500 0.2500  0.01
15 O 0.7474 0.4972 0.5000  0.06
16 O 0.0000 0.7499 0.2473  0.07
17 Tc 0.0000 0.7501 0.0000  2.22
18 O 0.7527 0.9975 0.0000  0.06
19 Hf 0.5000 0.2501 0.0000  0.03
20 O 0.7473 0.0025 0.5000  0.06

Results
Uncorrected formation energy   -62.37 kcal/mol of atoms



2.
Material: ScCr2Fe
Method: DFT, PBE
State: relaxed

Unit cell a=3.0171 b=4.0778 c=4.4547 alpha=90.00 beta=90.00 gamma=90.00
Site moments in Bohr magnetons follow the coordinates.
Fractional coordinates of all 4 atoms:
1 Fe 0.5000 0.0000 0.5000  0.57
2 Cr 0.0000 0.0000 0.0000  -1.95
3 Sc 0.0000 0.5000 0.5000  -0.02
4 Cr 0.5000 0.5000 0.0000  1.99

Results
Excess energy over the best structure of this formula in the dataset   42 meV per atom
DFT formation energy   0.1953 eV per atom



Magnetic moment (μB/atom)
0.298; 0.159
DOS(E_F) (states/eV/atom)
0.109; 0.794